# 1
First-principles (GGA-PBE) data for a relaxed structure of La2Cu2O5, as listed in Alexandria via LeMat-Bulk.

Values from the calculation:
Calculated density   6801 kg/m³
Electronic total energy   -6.882 eV per atom
Offset from the most stable computed form   38 meV/atom
M_tot   0.02 μB per atom
E_form (uncorrected)   -2.123 eV/atom

The structure in CIF format:
```
data_La2Cu2O5
_chemical_formula_sum 'La6 Cu6 O15'
_space_group_name_H-M_alt 'P -1'
_space_group_IT_number 2
_space_group_name_Hall '-P 1'
_cell_length_a 3.770
_cell_length_b 7.236
_cell_length_c 13.905
_cell_angle_alpha 76.08
_cell_angle_beta 83.43
_cell_angle_gamma 75.06
loop_
_atom_site_label
_atom_site_type_symbol
_atom_site_fract_x
_atom_site_fract_y
_atom_site_fract_z
_atom_site_occupancy
La1 La 0.043 0.246 0.195 1
La2 La 0.128 0.724 0.537 1
La3 La 0.230 0.691 0.270 1
Cu1 Cu 0.271 0.021 0.922 1
Cu2 Cu 0.429 0.014 0.638 1
Cu3 Cu 0.457 0.371 0.941 1
O1 O 0.072 0.983 0.362 1
O2 O 0.192 0.412 0.822 1
O3 O 0.265 0.910 0.072 1
O4 O 0.280 0.375 0.582 1
O5 O 0.349 0.023 0.779 1
O6 O 0.372 0.343 0.327 1
O7 O 0.437 0.659 0.923 1
O8 O 0.500 0.000 0.500 1
```


# 2
First-principles (GGA-PBE) data for a relaxed structure of CsAlAgSe3, as listed in Alexandria via LeMat-Bulk.

Values from the calculation:
Calculated density   4812 kg/m³
Electronic total energy   -3.636 eV per atom
M_tot   0.00 μB per atom
E_form (uncorrected)   -0.653 eV/atom

The structure in CIF format:
```
data_CsAlAgSe3
_chemical_formula_sum 'Cs4 Al4 Ag4 Se12'
_space_group_name_H-M_alt 'C m c m'
_space_group_IT_number 63
_space_group_name_Hall '-C 2c 2'
_cell_length_a 7.079
_cell_length_b 13.993
_cell_length_c 7.032
_cell_angle_alpha 90.00
_cell_angle_beta 90.00
_cell_angle_gamma 90.00
loop_
_atom_site_label
_atom_site_type_symbol
_atom_site_fract_x
_atom_site_fract_y
_atom_site_fract_z
_atom_site_occupancy
Cs1 Cs 0.000 0.247 0.250 1
Al1 Al 0.000 0.431 0.750 1
Ag1 Ag 0.000 0.067 0.750 1
Se1 Se 0.000 0.265 0.750 1
Se2 Se 0.231 0.500 0.000 1
```


# 3
First-principles (GGA-PBE) data for a relaxed structure of Sm4TlGeTe2, as listed in Alexandria via LeMat-Bulk.

Values from the calculation:
Calculated density   7735 kg/m³
Electronic total energy   -5.025 eV per atom
M_tot   0.00 μB per atom
E_form (uncorrected)   -1.007 eV/atom

The structure in CIF format:
```
data_Sm4TlGeTe2
_chemical_formula_sum 'Sm4 Tl1 Ge1 Te2'
_space_group_name_H-M_alt 'P 1 2/m 1'
_space_group_IT_number 10
_space_group_name_Hall '-P 2y'
_cell_length_a 7.558
_cell_length_b 4.348
_cell_length_c 7.815
_cell_angle_alpha 90.00
_cell_angle_beta 108.60
_cell_angle_gamma 90.00
loop_
_atom_site_label
_atom_site_type_symbol
_atom_site_fract_x
_atom_site_fract_y
_atom_site_fract_z
_atom_site_occupancy
Sm1 Sm 0.232 0.000 0.230 1
Sm2 Sm 0.242 0.500 0.757 1
Tl1 Tl 0.500 0.000 0.000 1
Ge1 Ge 0.000 0.500 0.000 1
Te1 Te 0.000 0.000 0.500 1
Te2 Te 0.500 0.500 0.500 1
```